A plane-wave DFT calculation with PBE-GGA was carried out for crystalline Tb8Te4P3N at its relaxed geometry.

The calculation puts the magnetization at 0.000 μB/atom. The calculation puts the formation energy without anion corrections at -1.492 eV/atom. The value obtained for the volume is 25.07 Å³ per atom. For the total DFT energy (no corrections), the calculation gives -6.13 eV/atom. Its density of states at the Fermi level is 5.43 states/eV/f.u.

The structure belongs to space group R-3m (No. 166, hexagonal axes); the cell edges are 8.0992, 8.0992 and 21.1828 Å and the angles 90.00°, 90.00° and 120.00°. The distinct sites, in fractional coordinates, are Tb at (0.0000, 0.0000, 0.2367), Tb at (0.0203, 0.5101, 0.2333), Te at (0.0000, 0.0000, 0.0000), Te at (0.0000, 0.5000, 0.0000), P at (0.0000, 0.5000, 0.5000) and N at (0.0000, 0.0000, 0.5000).